{
  "formula": "TlCuHgC2",
  "functional": "SCAN",
  "state": "PBEsol geometry",
  "total_magnetization_mub_per_cell": 0.842,
  "formation_energy_ev_per_atom": 2.63,
  "dft_energy_ev_per_atom": -32.554,
  "cell": [[-1.868, 2.935, -2.059], [0.607, -2.030, -3.443], [-5.411, -2.910, 0.762]],
  "species": ["Hg", "C", "C", "Tl", "Cu"],
  "fractional_positions": [[0.000, 0.000, 0.000], [0.500, 0.000, 0.000], [0.000, 0.500, 0.000], [0.000, 0.000, 0.500], [0.500, 0.500, 0.500]]
}

=====

{
  "formula": "CuCIN2",
  "functional": "SCAN",
  "state": "PBEsol geometry",
  "total_magnetization_mub_per_cell": 4.285,
  "dft_energy_ev_per_atom": -13.767,
  "formation_energy_uncorrected_kcal_per_mol_atoms": 54.37,
  "cell": [[3.515, 0.000, 0.000], [0.000, 3.515, 0.000], [0.000, 0.000, 7.336]],
  "species": ["N", "N", "I", "C", "Cu"],
  "fractional_positions": [[0.000, 0.500, 0.000], [0.500, 0.000, 0.000], [0.000, 0.000, 0.500], [0.500, 0.500, 0.500], [0.000, 0.000, 0.000]]
}